1.
! BaBPdPt2, optimized geometry, DFT GGA-PBE; values from VASP
&SYSTEM
  ibrav = 0, nat = 5, ntyp = 4
/
ATOMIC_SPECIES
Ba 137.33 Ba.upf
B 10.81 B.upf
Pd 106.42 Pd.upf
Pt 195.08 Pt.upf
CELL_PARAMETERS angstrom
4.338 0.000 0.000
0.000 4.338 0.000
0.000 0.000 4.852
ATOMIC_POSITIONS angstrom
Ba 0.000 0.000 0.000
B 2.169 2.169 2.426
Pd 2.169 2.169 0.000
Pt 0.000 2.169 2.426
Pt 2.169 0.000 2.426
! - Theoretical density: 11.73 g/cm³
! - Crystal system: tetragonal
! - Calculated total energy: -27.73 eV/cell
! - Density of states at the Fermi level: 2.294 states/eV per cell

***

2.
! TlSb2Cl6, optimized geometry, DFT GGA-PBE; values from VASP
&SYSTEM
  ibrav = 0, nat = 9, ntyp = 3
/
ATOMIC_SPECIES
Tl 204.38 Tl.upf
Sb 121.76 Sb.upf
Cl 35.45 Cl.upf
CELL_PARAMETERS angstrom
7.430 0.000 0.000
-3.715 6.435 0.000
0.000 0.000 6.585
ATOMIC_POSITIONS angstrom
Tl 0.000 0.000 0.000
Sb 0.000 4.290 3.292
Sb 3.715 2.145 3.292
Cl -1.346 2.332 4.697
Cl -2.369 4.103 1.888
Cl 2.693 0.000 4.697
Cl 1.346 2.332 1.888
Cl 4.737 0.000 1.888
Cl 2.369 4.103 4.697
! - Polymorph energy (0 for the lowest one): 42.1 meV/atom
! - Theoretical density: 3.48 g/cm³
! - Crystal system: trigonal
! - Calculated total energy: -28.29 eV/cell
! - Density of states at the Fermi level: 3.611 states/eV per cell
! - Formation energy (no corrections): -733 meV/atom

***

Which formula does entry 2 have? TlSb2Cl6